(1)
Below is a geometry-optimized MgTl4In7 structure, with properties calculated at the PBE level.

**Crystal system**: trigonal
**Total moment**: 0.00 μB/f.u.
**Symmetry**: P-3m1 (164)
**Total DFT energy (no corrections)**: -2.51 eV per atom

Structure (POSCAR):
```
MgTl4In7
1.0
3.408 0.000 0.000
-1.704 2.952 0.000
0.000 0.000 33.098
Tl In Mg
4 7 1
direct
0.667 0.333 0.341
0.333 0.667 0.914
0.667 0.333 0.086
0.333 0.667 0.659
0.333 0.667 0.172
0.333 0.667 0.426
0.000 0.000 0.000
0.667 0.333 0.828
0.667 0.333 0.574
0.000 0.000 0.746
0.000 0.000 0.254
0.000 0.000 0.500
```

---

(2)
Below is a geometry-optimized Cd2PtW structure, with properties calculated at the PBE level.

**Crystal system**: monoclinic
**Total moment**: 0.00 μB/f.u.
**Excess energy over the best structure of this formula in the dataset**: 0.203 eV/atom
**Symmetry**: Cm (8)

Structure (POSCAR):
```
Cd2PtW
1.0
4.873 -0.002 -0.007
4.046 2.717 -0.007
0.677 0.206 5.436
Pt W Cd
1 1 2
direct
0.497 0.497 0.537
0.753 0.753 0.719
0.248 0.248 0.241
0.002 0.002 0.003
```

---

(3)
Below is a geometry-optimized Ce3Mg2Pb6 structure, with properties calculated at the PBE level.

**Crystal system**: tetragonal
**Total moment**: 3.13 μB/f.u.
**Symmetry**: I4/mmm (139)
**Total DFT energy (no corrections)**: -4.12 eV per atom

Structure (POSCAR):
```
Ce3Mg2Pb6
1.0
-1.740 -3.151 3.157
-2.625 -2.016 -3.460
13.507 -6.800 -2.973
Pb Ce Mg
6 3 2
direct
0.734 0.734 0.468
0.423 0.923 0.847
0.577 0.077 0.153
0.923 0.423 0.847
0.266 0.266 0.532
0.077 0.577 0.153
0.000 0.000 0.000
0.840 0.840 0.680
0.160 0.160 0.320
0.361 0.361 0.722
0.639 0.639 0.278
```